The following is a PBE-GGA calculation of a relaxed structure of LaAg3Au, from the Alexandria database.

The structure belongs to space group P2_1/m (No. 11); the cell edges are 5.733, 5.760 and 6.680 Å and the angles 90.00°, 90.97° and 90.00°. The distinct sites, in fractional coordinates, are La at (0.161, 0.250, 0.168), Ag at (0.081, 0.750, 0.392), Ag at (0.350, 0.008, 0.673) and Au at (0.340, 0.750, 0.041).

For the formation energy, the calculation gives -32.5 kJ/mol of atoms. For the energy above the lowest structure with this stoichiometry, the calculation gives 0 meV/atom. The value obtained for the total magnetization is 0.00 μB per cell. For the volume, the calculation gives 22.05 Å³/atom.